# 1
{"formula": "Zn6Ag2Au", "functional": "PBE-GGA", "state": "relaxed", "cell": [[3.091, 0.000, -0.037], [0.000, 7.486, 0.000], [-1.134, -3.743, 6.678]], "species": ["Zn", "Zn", "Zn", "Zn", "Zn", "Zn", "Ag", "Ag", "Au"], "fractional_positions": [[0.500, 0.304, 0.000], [0.836, 0.640, 0.665], [0.500, 0.696, 0.000], [0.164, 0.975, 0.335], [0.836, 0.025, 0.665], [0.164, 0.360, 0.335], [0.333, 0.335, 0.669], [0.667, 0.665, 0.331], [0.000, 0.000, 0.000]], "mass_density_g_cm3": 8.7, "total_magnetization_mub_per_fu": 0.000, "dos_ef_per_ev_cell": 2.22, "ef_mev_per_atom": -25.1, "polymorph_energy_mev_per_atom": 20}

# 2
{"formula": "Ta3TiRu", "functional": "PBE-GGA", "state": "relaxed", "cell": [[4.605, 0.000, 0.000], [0.000, 4.605, 0.000], [0.000, 0.000, 4.605]], "species": ["Ti", "Ta", "Ta", "Ta", "Ru"], "fractional_positions": [[0.000, 0.000, 0.000], [0.500, 0.000, 0.000], [0.000, 0.500, 0.000], [0.000, 0.000, 0.500], [0.500, 0.500, 0.500]], "mass_density_g_cm3": 11.8, "total_magnetization_mub_per_fu": 0.000, "dos_ef_per_ev_cell": 7.78, "ef_mev_per_atom": 1576.4, "polymorph_energy_mev_per_atom": 486}